(1)
This record from Alexandria via LeMat-Bulk describes a relaxed AlSb2PtBr crystal. The functional is GGA-PBE.

The structure in POSCAR format:
```
AlSb2PtBr
1.0
-1.217 2.871 4.571
0.453 -3.989 2.626
5.372 1.098 0.741
Sb Br Pt Al
2 1 1 1
Direct
0.000 0.000 0.500
0.500 0.000 0.000
0.000 0.000 0.000
0.000 0.500 0.000
0.500 0.500 0.500
```

Computed properties:
Space-group type = P4/mmm (123)
Energy relative to the elements, uncorrected = 1060.6 meV per atom


(2)
This record from Alexandria via LeMat-Bulk describes a relaxed Ga6RuRh3 crystal. The functional is GGA-PBE.

The structure in POSCAR format:
```
Ga6RuRh3
1.0
-3.635 3.873 3.060
0.105 -4.161 5.392
6.293 3.528 2.600
Ga Ru Rh
12 2 6
Direct
0.642 0.164 0.940
0.636 0.158 0.561
0.739 0.428 0.256
0.261 0.572 0.744
0.364 0.842 0.439
0.358 0.836 0.060
0.142 0.336 0.440
0.136 0.342 0.061
0.239 0.072 0.756
0.761 0.928 0.244
0.864 0.658 0.939
0.858 0.664 0.560
0.500 0.500 0.500
0.000 0.000 0.000
0.568 0.848 0.754
0.500 0.500 0.000
0.432 0.152 0.246
0.068 0.652 0.254
0.000 0.000 0.500
0.932 0.348 0.746
```

Computed properties:
Space-group type = P2_1/c (14)
Calculated formation energy = -0.316 eV/atom


(3)
This record from Alexandria via LeMat-Bulk describes a relaxed ScInHRh2 crystal. The functional is GGA-PBE.

The structure in POSCAR format:
```
ScInHRh2
1.0
4.200 0.000 0.000
0.000 4.200 0.000
0.000 0.000 3.944
Sc H Rh In
1 1 2 1
Direct
0.000 0.000 0.500
0.000 0.000 0.000
0.000 0.500 0.000
0.500 0.000 0.000
0.500 0.500 0.500
```

Computed properties:
Space-group type = P4/mmm (123)


(4)
This record from Alexandria via LeMat-Bulk describes a relaxed CaZnRe2 crystal. The functional is GGA-PBE.

The structure in POSCAR format:
```
CaZnRe2
1.0
-3.909 -3.381 -2.049
-1.547 -4.122 -3.394
0.110 -4.085 2.445
Re Zn Ca
2 1 1
Direct
0.972 0.972 0.028
0.528 0.528 0.472
0.250 0.250 0.250
0.750 0.750 0.750
```

Computed properties:
Space-group type = C2/m (12)
Calculated formation energy = 0.501 eV/atom


(5)
This record from Alexandria via LeMat-Bulk describes a relaxed CsTl2CrC crystal. The functional is GGA-PBE.

The structure in POSCAR format:
```
CsTl2CrC
1.0
5.491 0.000 0.000
0.000 4.024 0.000
0.000 0.000 5.491
Cs Cr Tl C
1 1 2 1
Direct
0.500 0.500 0.500
0.000 0.000 0.000
0.000 0.000 0.500
0.500 0.000 0.000
0.000 0.500 0.000
```

Computed properties:
Space-group type = P4/mmm (123)
Calculated formation energy = 0.796 eV/atom


(6)
This record from Alexandria via LeMat-Bulk describes a relaxed Na4HgPt crystal. The functional is GGA-PBE.

The structure in POSCAR format:
```
Na4HgPt
1.0
6.597 0.000 -3.365
-1.717 6.370 -3.365
-0.219 -0.286 7.719
Na Hg Pt
8 2 2
Direct
0.470 0.970 0.281
0.970 0.812 0.281
0.312 0.470 0.281
0.688 0.530 0.719
0.030 0.188 0.719
0.530 0.030 0.719
0.188 0.688 0.719
0.812 0.312 0.281
0.500 0.500 0.000
0.000 0.000 0.000
0.250 0.250 0.500
0.750 0.750 0.500
```

Computed properties:
Space-group type = I4/mcm (140)
Calculated formation energy = -0.174 eV/atom


| no. | volume (Å³ per cell) | uncorrected energy (eV per atom) |
| --- | --- | --- |
| 1 | 147 | -2.880 |
| 2 | 320 | -5.265 |
| 3 | 70 | -6.000 |
| 4 | 68 | -6.542 |
| 5 | 121 | -4.091 |
| 6 | 312 | -2.110 |